This record from Alexandria describes a geometry-optimized Tb6DySc structure. The functional is PBE.

a = 4.988 Å, b = 4.988 Å, c = 9.929 Å
α = 90.00°, β = 90.00°, γ = 90.00°
Atoms (fractional coordinates):
1 Tb 0.000 0.000 0.000
2 Tb 0.000 0.000 0.500
3 Tb 0.000 0.500 0.245
4 Tb 0.000 0.500 0.755
5 Tb 0.500 0.000 0.245
6 Tb 0.500 0.000 0.755
7 Dy 0.500 0.500 0.500
8 Sc 0.500 0.500 0.000

Results
SG = P4/mmm
calculated volume = 247 Å³/cell
distance to the lowest polymorph of the same formula = 0.00 eV per formula unit